(1)
Entry from Alexandria via LeMat-Bulk: crystalline CoHgRu2 at its relaxed geometry (GGA-PBE).

Cell: 2.788 3.729 5.789 Å, 90.00 90.00 90.00°
Space group Pmm2 (No. 25)
One atom of each set of equivalent atoms:
Co 0.000 0.000 0.000 x1
Hg 0.500 0.500 0.266 x1
Ru 0.000 0.000 0.572 x1
Ru 0.500 0.500 0.775 x1

energy of formation	0.397	eV per atom
crystal system	orthorhombic
calculated volume	60.19	Å³/cell
M_tot	1.68	μB/f.u.
electronic total energy	-24.37	eV for the cell shown

---

(2)
Entry from Alexandria via LeMat-Bulk: crystalline CoHg2Ru at its relaxed geometry (GGA-PBE).

Cell: 2.924 2.924 8.033 Å, 90.00 90.00 90.00°
Space group P4mm (No. 99)
One atom of each set of equivalent atoms:
Co 0.000 0.000 0.000 x1
Hg 0.000 0.000 0.566 x1
Hg 0.500 0.500 0.240 x1
Ru 0.500 0.500 0.828 x1

polymorph energy (0 for the lowest one)	0.0	meV per atom
energy of formation	0.373	eV per atom
crystal system	tetragonal
calculated volume	68.68	Å³/cell
M_tot	1.74	μB/f.u.
electronic total energy	-15.49	eV for the cell shown

---

(3)
Entry from Alexandria via LeMat-Bulk: crystalline CoHg2Ru at its relaxed geometry (GGA-PBE).

Cell: 7.341 7.341 5.504 Å, 90.00 90.00 90.00°
Space group I-42d (No. 122)
One atom of each set of equivalent atoms:
Co 0.000 0.000 0.000 x4
Hg 0.233 0.250 0.125 x8
Ru 0.000 0.000 0.500 x4

polymorph energy (0 for the lowest one)	521.6	meV per atom
energy of formation	0.895	eV per atom
crystal system	tetragonal
calculated volume	296.57	Å³/cell
M_tot	3.06	μB/f.u.
electronic total energy	-53.62	eV for the cell shown

---

(4)
Entry from Alexandria via LeMat-Bulk: crystalline CoHgRu2 at its relaxed geometry (GGA-PBE).

Cell: 2.801 2.801 7.598 Å, 90.00 90.00 90.00°
Space group P4mm (No. 99)
One atom of each set of equivalent atoms:
Co 0.000 0.000 0.000 x1
Hg 0.500 0.500 0.265 x1
Ru 0.000 0.000 0.555 x1
Ru 0.500 0.500 0.781 x1

energy of formation	0.355	eV per atom
crystal system	tetragonal
calculated volume	59.62	Å³/cell
M_tot	1.49	μB/f.u.
electronic total energy	-24.54	eV for the cell shown